1.
This record from Alexandria via LeMat-Bulk describes a geometry-optimized Rb2CrNiS4 structure. The functional is GGA-PBE.

Geometry as CIF:
```
data_Rb2CrNiS4
_chemical_formula_sum 'Rb4 Cr2 Ni2 S8'
_space_group_name_H-M_alt 'P 1'
_space_group_IT_number 1
_cell_length_a 5.2452
_cell_length_b 7.2758
_cell_length_c 12.1571
_cell_angle_alpha 85.54
_cell_angle_beta 77.54
_cell_angle_gamma 68.87
loop_
_space_group_symop_operation_xyz
'x,y,z'
loop_
_atom_site_label
_atom_site_type_symbol
_atom_site_fract_x
_atom_site_fract_y
_atom_site_fract_z
_atom_site_occupancy
Rb1 Rb 0.9270 0.5000 0.1460 1
Rb2 Rb 0.8230 0.0000 0.3540 1
Rb3 Rb 0.5730 0.5000 0.8540 1
Rb4 Rb 0.1770 0.0000 0.6460 1
S1 S 0.8451 0.6819 0.6033 1
S2 S 0.6196 0.1819 0.1033 1
S3 S 0.1985 0.1819 0.8967 1
S4 S 0.9049 0.8181 0.8967 1
S5 S 0.5515 0.3181 0.6033 1
S6 S 0.4730 0.6819 0.3967 1
S7 S 0.2770 0.8181 0.1033 1
S8 S 0.1304 0.3181 0.3967 1
Ni1 Ni 0.2500 0.5000 0.5000 1
Ni2 Ni 0.5000 0.0000 0.0000 1
Cr1 Cr 0.7500 0.5000 0.5000 1
Cr2 Cr 0.0000 0.0000 0.0000 1
```

Results
SG: Fddd (70)
E_form (uncorrected), eV per atom: -0.895


2.
This record from Alexandria via LeMat-Bulk describes a geometry-optimized RbCrNiSe4 structure. The functional is GGA-PBE.

Geometry as CIF:
```
data_RbCrNiSe4
_chemical_formula_sum 'Rb2 Cr2 Ni2 Se8'
_space_group_name_H-M_alt 'P 1'
_space_group_IT_number 1
_cell_length_a 5.5523
_cell_length_b 7.0676
_cell_length_c 10.1188
_cell_angle_alpha 90.00
_cell_angle_beta 119.72
_cell_angle_gamma 90.00
loop_
_space_group_symop_operation_xyz
'x,y,z'
loop_
_atom_site_label
_atom_site_type_symbol
_atom_site_fract_x
_atom_site_fract_y
_atom_site_fract_z
_atom_site_occupancy
Se1 Se 0.0770 0.9949 0.6656 1
Se2 Se 0.6076 0.2500 0.7920 1
Se3 Se 0.6069 0.7500 0.6143 1
Se4 Se 0.0770 0.5051 0.6656 1
Se5 Se 0.9230 0.0051 0.3344 1
Se6 Se 0.3924 0.7500 0.2080 1
Se7 Se 0.3931 0.2500 0.3857 1
Se8 Se 0.9230 0.4949 0.3344 1
Rb1 Rb 0.6845 0.7500 0.9671 1
Rb2 Rb 0.3155 0.2500 0.0329 1
Cr1 Cr 0.2064 0.2500 0.5447 1
Cr2 Cr 0.7936 0.7500 0.4553 1
Ni1 Ni 0.2273 0.7500 0.3807 1
Ni2 Ni 0.7727 0.2500 0.6193 1
```

Results
SG: P2_1/m (11)
E_form (uncorrected), eV per atom: -0.422


3.
This record from Alexandria via LeMat-Bulk describes a geometry-optimized RbCrNiSe3 structure. The functional is GGA-PBE.

Geometry as CIF:
```
data_RbCrNiSe3
_chemical_formula_sum 'Rb2 Cr2 Ni2 Se6'
_space_group_name_H-M_alt 'P 1'
_space_group_IT_number 1
_cell_length_a 3.7359
_cell_length_b 8.8528
_cell_length_c 9.7487
_cell_angle_alpha 116.94
_cell_angle_beta 90.00
_cell_angle_gamma 90.00
loop_
_space_group_symop_operation_xyz
'x,y,z'
loop_
_atom_site_label
_atom_site_type_symbol
_atom_site_fract_x
_atom_site_fract_y
_atom_site_fract_z
_atom_site_occupancy
Cr1 Cr 0.2500 0.6874 0.1606 1
Cr2 Cr 0.7500 0.3126 0.8394 1
Se1 Se 0.7500 0.2215 0.5549 1
Se2 Se 0.2500 0.5214 0.8668 1
Se3 Se 0.7500 0.8727 0.1450 1
Se4 Se 0.2500 0.7785 0.4451 1
Se5 Se 0.2500 0.1273 0.8550 1
Se6 Se 0.7500 0.4786 0.1332 1
Ni1 Ni 0.7500 0.9150 0.3999 1
Ni2 Ni 0.2500 0.0850 0.6001 1
Rb1 Rb 0.2500 0.2376 0.2558 1
Rb2 Rb 0.7500 0.7624 0.7442 1
```

Results
SG: P2_1/m (11)
E_form (uncorrected), eV per atom: -0.643


4.
This record from Alexandria via LeMat-Bulk describes a geometry-optimized RbCr2SiNi structure. The functional is GGA-PBE.

Geometry as CIF:
```
data_RbCr2SiNi
_chemical_formula_sum 'Rb1 Cr2 Si1 Ni1'
_space_group_name_H-M_alt 'P 1'
_space_group_IT_number 1
_cell_length_a 5.0178
_cell_length_b 4.4797
_cell_length_c 5.0178
_cell_angle_alpha 90.00
_cell_angle_beta 90.00
_cell_angle_gamma 90.00
loop_
_space_group_symop_operation_xyz
'x,y,z'
loop_
_atom_site_label
_atom_site_type_symbol
_atom_site_fract_x
_atom_site_fract_y
_atom_site_fract_z
_atom_site_occupancy
Si1 Si 0.0000 0.0000 0.0000 1
Cr1 Cr 0.5000 0.0000 0.0000 1
Cr2 Cr 0.0000 0.0000 0.5000 1
Ni1 Ni 0.0000 0.5000 0.0000 1
Rb1 Rb 0.5000 0.5000 0.5000 1
```

Results
SG: P4/mmm (123)
E_form (uncorrected), eV per atom: 0.799


5.
This record from Alexandria via LeMat-Bulk describes a geometry-optimized CrRe2Ni structure. The functional is GGA-PBE.

Geometry as CIF:
```
data_CrRe2Ni
_chemical_formula_sum 'Cr1 Re2 Ni1'
_space_group_name_H-M_alt 'P 1'
_space_group_IT_number 1
_cell_length_a 4.5225
_cell_length_b 4.5225
_cell_length_c 4.5225
_cell_angle_alpha 130.19
_cell_angle_beta 130.19
_cell_angle_gamma 73.11
loop_
_space_group_symop_operation_xyz
'x,y,z'
loop_
_atom_site_label
_atom_site_type_symbol
_atom_site_fract_x
_atom_site_fract_y
_atom_site_fract_z
_atom_site_occupancy
Re1 Re 0.0000 0.0000 0.0000 1
Re2 Re 0.5000 0.5000 0.0000 1
Cr1 Cr 0.2500 0.7500 0.5000 1
Ni1 Ni 0.7500 0.2500 0.5000 1
```

Results
DFT formation energy, meV per atom: 69
SG: I4/mmm (139)


6.
This record from Alexandria via LeMat-Bulk describes a geometry-optimized CrRe2Ni structure. The functional is GGA-PBE.

Geometry as CIF:
```
data_CrRe2Ni
_chemical_formula_sum 'Cr1 Re2 Ni1'
_space_group_name_H-M_alt 'P 1'
_space_group_IT_number 1
_cell_length_a 2.6866
_cell_length_b 3.7820
_cell_length_c 5.2527
_cell_angle_alpha 90.00
_cell_angle_beta 90.00
_cell_angle_gamma 90.00
loop_
_space_group_symop_operation_xyz
'x,y,z'
loop_
_atom_site_label
_atom_site_type_symbol
_atom_site_fract_x
_atom_site_fract_y
_atom_site_fract_z
_atom_site_occupancy
Cr1 Cr 0.0000 0.0000 0.5094 1
Re1 Re 0.0000 0.0000 0.9895 1
Re2 Re 0.5000 0.5000 0.2572 1
Ni1 Ni 0.5000 0.5000 0.7439 1
```

Results
DFT formation energy, meV per atom: 119
SG: Pmm2 (25)


The uncorrected energy results, record by record, are as follows: -5.13 -4.75 -5.11 -5.48 -10.01 -9.96 eV/atom.